Below is a relaxed structure of Dy4Bi2Rh, with properties calculated at the GGA-PBE level.

Structure (POSCAR):
```
Dy4Bi2Rh
1.0
-2.6408 -6.1705 1.7166
3.1457 0.2681 5.8033
-4.8305 8.4806 2.2266
Dy Bi Rh
8 4 2
direct
0.3549 0.4913 0.2009 Dy
0.1594 0.7500 0.8374 Dy
0.8406 0.2500 0.1626 Dy
0.3549 0.0087 0.2009 Dy
0.8679 0.2500 0.5668 Dy
0.6451 0.9913 0.7991 Dy
0.6451 0.5087 0.7991 Dy
0.1321 0.7500 0.4332 Dy
0.6730 0.7500 0.1173 Bi
0.3270 0.2500 0.8827 Bi
0.2992 0.2500 0.4793 Bi
0.7008 0.7500 0.5207 Bi
0.0146 0.7500 0.0556 Rh
0.9854 0.2500 0.9444 Rh
```

## Properties
- DFT total energy: -5.447 eV/atom
- Energy of formation from the pure elements: -0.658 eV/atom
- Mass density: 9.905 Mg/m³
- Space group: P2_1/m
- DOS at the Fermi energy: 5.16 states/eV/f.u.